Entry 1:
## SrAgOs2 (PBE)

Data for a relaxed SrAgOs2 crystal.

a b c (Å): 4.4371 4.4371 6.9698
angles (deg): 83.17 83.17 38.32
With the nearest neighbours (Å) after each atom.
Fractional coordinates of all 4 atoms:
1 Os 0.0017 0.0017 0.9526  3 Os 2.42-2.55
2 Os 0.7433 0.7433 0.8324  3 Os 2.42-2.55
3 Ag 0.2617 0.2617 0.1982  5 Os 2.87-2.96, 2 Ag 2.91, 1 Sr 3.13
4 Sr 0.4933 0.4933 0.5169  2 Sr 2.91, 1 Ag 3.13, 3 Os 3.19-3.22

Results
* VASP energy: -6.16 eV/atom
* DOS(E_F): 0.726 states/eV/atom
* total magnetic moment: 0.000 μB/atom
* polymorph energy (0 for the lowest one): 121 meV/atom
* formation enthalpy at 0 K: 0.591 eV/atom

***

Entry 2:
## SrAgOs2 (PBE)

Data for a relaxed SrAgOs2 crystal.

a b c (Å): 2.7806 2.7806 9.4140
angles (deg): 90.00 90.00 90.00
With the nearest neighbours (Å) after each atom.
Fractional coordinates of all 4 atoms:
1 Os 0.0000 0.0000 0.9780  4 Os 2.78, 4 Ag 2.91
2 Os 0.0000 0.0000 0.5220  4 Os 2.78, 4 Ag 2.91
3 Sr 0.5000 0.5000 0.2500  4 Sr 2.78
4 Ag 0.5000 0.5000 0.7500  4 Ag 2.78, 8 Os 2.91

Results
* VASP energy: -5.66 eV/atom
* DOS(E_F): 1.273 states/eV/atom
* total magnetic moment: 0.000 μB/atom
* polymorph energy (0 for the lowest one): 620 meV/atom
* formation enthalpy at 0 K: 1.090 eV/atom

***

Entry 3:
## SrAgOs2 (PBE)

Data for a relaxed SrAgOs2 crystal.

a b c (Å): 5.1622 5.1622 5.1622
angles (deg): 132.15 120.48 79.74
With the nearest neighbours (Å) after each atom.
Fractional coordinates of all 4 atoms:
1 Ag 0.7694 0.2694 0.5000  9 Os 3.04-3.37, 4 Sr 3.07-3.09
2 Os 0.1953 0.6953 0.5000  2 Os 2.40
3 Os 0.0484 0.0484 0.0000  2 Os 2.40
4 Sr 0.4868 0.4868 0.0000  8 Os 3.05-3.34, 4 Ag 3.07-3.09

Results
* VASP energy: -5.99 eV/atom
* DOS(E_F): 0.909 states/eV/atom
* total magnetic moment: 0.000 μB/atom
* polymorph energy (0 for the lowest one): 285 meV/atom
* formation enthalpy at 0 K: 0.755 eV/atom